No. 1
DFT (GGA-PBE) results for a relaxed Ni2AgIr crystal.

Unit cell a=4.467 b=4.467 c=2.707 alpha=90.00 beta=90.00 gamma=90.00
Last column: magnetic moment on the atom in μB.
Atoms (fractional coordinates):
Ir1 0.000 0.500 0.500  0.21
Ni1 0.500 0.500 0.000  0.40
Ni2 0.000 0.000 0.000  0.40
Ag1 0.500 0.000 0.500  0.02

Output
V: 54 Å³/f.u.
Polymorph energy (0 for the lowest one): 119 meV/atom
Total magnetization: 1.00 μB per cell
Energy relative to the elements: 0.25 eV per atom
DOS(E_F): 7.4 states/eV/cell



No. 2
DFT (GGA-PBE) results for a relaxed CrCo2Ru crystal.

Unit cell a=4.106 b=4.106 c=4.106 alpha=60.00 beta=60.00 gamma=60.00
Last column: magnetic moment on the atom in μB.
Atoms (fractional coordinates):
Co1 0.750 0.750 0.750  1.50
Co2 0.250 0.250 0.250  1.50
Cr1 0.000 0.000 0.000  1.91
Ru1 0.500 0.500 0.500  0.66

Output
V: 49 Å³/f.u.
Polymorph energy (0 for the lowest one): 233 meV/atom
Total magnetization: 5.68 μB per cell
Energy relative to the elements: 0.28 eV per atom
DOS(E_F): 6.0 states/eV/cell



Number 2 is which compound? CrCo2Ru



The lowest total magnetization belongs to which entry? Ni2AgIr



Which value of V does entry 2 give? 49 Å³/f.u.